[1]
Density functional theory data (GGA-PBE) for an optimized crystal structure of Pr2NiGeH.

Values from the calculation:
raw total energy = -52.670 eV/cell
calculated volume = 20.19 A^3/atom
crystal system = monoclinic

Cell lengths 6.217, 4.135, 8.238 Å; angles 90.00, 107.57, 90.00 degrees
Space group P2_1/m (No. 11)
Inequivalent atoms, fractional coordinates:
Pr1 0.223 0.250 0.409 (multiplicity 2)
Pr2 0.244 0.250 0.965 (multiplicity 2)
Ni1 0.442 0.750 0.239 (multiplicity 2)
Ge1 0.325 0.750 0.704 (multiplicity 2)
H1 0.171 0.750 0.171 (multiplicity 2)

***

[2]
Density functional theory data (GGA-PBE) for an optimized crystal structure of TbPr2Tm3As6.

Values from the calculation:
energy of formation = -1.495 eV per atom
raw total energy = -146.889 eV/cell
calculated volume = 25.44 A^3/atom
crystal system = monoclinic

Cell lengths 18.120, 4.163, 8.314 Å; angles 90.00, 103.18, 90.00 degrees
Space group C2/m (No. 12)
Inequivalent atoms, fractional coordinates:
Tb1 0.000 0.000 0.000 (multiplicity 2)
Pr1 0.166 0.500 0.332 (multiplicity 4)
Tm1 0.000 0.000 0.500 (multiplicity 2)
Tm2 0.167 0.500 0.834 (multiplicity 4)
As1 0.004 0.500 0.749 (multiplicity 4)
As2 0.163 0.000 0.592 (multiplicity 4)
As3 0.167 0.000 0.073 (multiplicity 4)

***

> What is the formula in the second record?

TbPr2Tm3As6

***

> The highest raw total energy belongs to which entry?

Pr2NiGeH